Model w:
Tb2PaPt3: relaxed, PBE-GGA.

Results
The total moment comes out at 0.00 Bohr magnetons per cell.

Cell: 12.9614 5.7793 8.1130 Å, 90.00 108.26 90.00°
Closest atoms and distances in Å follow each position.
Space group C2/c (No. 15)
Inequivalent atoms, fractional coordinates:
Tb 0.1659 0.0014 0.0830 (multiplicity 8)  6 Pt 2.88-2.97
Pa 0.0000 0.4995 0.2500 (multiplicity 4)  6 Pt 2.81-2.89
Pt 0.0000 0.0005 0.7500 (multiplicity 4)  4 Tb 2.88, 2 Pa 2.89
Pt 0.1581 0.4988 0.5789 (multiplicity 8)  2 Pa 2.81, 4 Tb 2.89-2.97


Model x:
Tb2PaPt3: relaxed, PBE-GGA.

Results
The total moment comes out at 0.00 Bohr magnetons per cell.

Cell: 8.1899 11.5445 24.4402 Å, 90.00 90.00 90.00°
Closest atoms and distances in Å follow each position.
Space group Fddd (No. 70, origin choice 2)
Inequivalent atoms, fractional coordinates:
Tb 0.1250 0.1250 0.0419 (multiplicity 16)  6 Pt 2.88-2.95
Tb 0.1250 0.1250 0.3755 (multiplicity 16)  6 Pt 2.89-2.96
Pa 0.1250 0.1250 0.5415 (multiplicity 16)  6 Pt 2.82
Pt 0.1134 0.3750 0.8750 (multiplicity 16)  2 Pa 2.82, 4 Tb 2.89-2.95
Pt 0.1206 0.3696 0.7106 (multiplicity 32)  2 Pa 2.82, 4 Tb 2.88-2.96


Pick model x: it beats the second-best structure by 1.1 kJ/mol of atoms.


Model w:
Pa2TcPt: relaxed, PBE-GGA.

Results
The total moment comes out at 0.00 Bohr magnetons per cell.

Cell: 3.3841 3.3841 7.3003 Å, 90.00 90.00 90.00°
Closest atoms and distances in Å follow each position.
Space group P4/mmm (No. 123)
Inequivalent atoms, fractional coordinates:
Pa 0.0000 0.0000 0.2395 (multiplicity 2)  4 Tc 2.96, 4 Pt 3.06
Tc 0.5000 0.5000 0.0000 (multiplicity 1)  8 Pa 2.96
Pt 0.5000 0.5000 0.5000 (multiplicity 1)  8 Pa 3.06, 4 Pt 3.38


Model x:
Pa2TcPt: relaxed, PBE-GGA.

Results
The total moment comes out at 0.00 Bohr magnetons per cell.

Cell: 4.5160 4.5160 4.0126 Å, 90.00 90.00 90.00°
Closest atoms and distances in Å follow each position.
Space group P4/mmm (No. 123)
Inequivalent atoms, fractional coordinates:
Pa 0.0000 0.5000 0.0000 (multiplicity 2)  4 Pt 3.02, 4 Tc 3.02, 4 Pa 3.19
Tc 0.0000 0.0000 0.5000 (multiplicity 1)  8 Pa 3.02, 4 Pt 3.19
Pt 0.5000 0.5000 0.5000 (multiplicity 1)  8 Pa 3.02, 4 Tc 3.19


Model y:
Pa2TcPt: relaxed, PBE-GGA.

Results
The total moment comes out at 0.00 Bohr magnetons per cell.

Cell: 3.9779 3.9779 19.9274 Å, 90.00 90.00 120.00°
Closest atoms and distances in Å follow each position.
Space group R-3m (No. 166, hexagonal axes)
Inequivalent atoms, fractional coordinates:
Pa 0.0000 0.0000 0.2443 (multiplicity 6)  3 Tc 2.77, 3 Pt 2.90
Tc 0.0000 0.0000 0.5000 (multiplicity 3)  6 Pa 2.77
Pt 0.0000 0.0000 0.0000 (multiplicity 3)  6 Pa 2.90


Model z:
Pa2TcPt: relaxed, PBE-GGA.

Results
The total moment comes out at 0.00 Bohr magnetons per cell.

Cell: 5.8123 7.5817 4.1704 Å, 90.00 90.00 90.00°
Closest atoms and distances in Å follow each position.
Space group Pnnm (No. 58)
Inequivalent atoms, fractional coordinates:
Pa 0.2304 0.1655 0.0000 (multiplicity 4)  3 Tc 2.78-2.98, 3 Pt 2.87-2.89
Tc 0.0000 0.0000 0.5000 (multiplicity 2)  6 Pa 2.78-2.98, 2 Pt 2.91
Pt 0.0000 0.5000 0.0000 (multiplicity 2)  6 Pa 2.87-2.89, 2 Tc 2.91


Pick model z: it beats the second-best structure by 0.6 kJ/mol of atoms.


Model w:
PaTc2Pt: relaxed, PBE-GGA.

Results
The total moment comes out at 0.00 Bohr magnetons per cell.

Cell: 4.1466 4.1466 4.0200 Å, 90.00 90.00 90.00°
Closest atoms and distances in Å follow each position.
Space group P4/mmm (No. 123)
Inequivalent atoms, fractional coordinates:
Pa 0.0000 0.0000 0.0000 (multiplicity 1)  8 Tc 2.89, 4 Pt 2.93
Tc 0.0000 0.5000 0.5000 (multiplicity 2)  4 Pa 2.89, 4 Pt 2.89, 4 Tc 2.93
Pt 0.5000 0.5000 0.0000 (multiplicity 1)  8 Tc 2.89, 4 Pa 2.93


Model x:
PaTc2Pt: relaxed, PBE-GGA.

Results
The total moment comes out at 0.00 Bohr magnetons per cell.

Cell: 4.5356 4.5356 11.9764 Å, 90.00 90.00 120.00°
Closest atoms and distances in Å follow each position.
Space group R-3m (No. 166, hexagonal axes)
Inequivalent atoms, fractional coordinates:
Pa 0.0000 0.0000 0.0000 (multiplicity 3)  6 Tc 2.70
Tc 0.0000 0.0000 0.2775 (multiplicity 6)  4 Pt 2.66-2.94, 3 Pa 2.70, 3 Tc 2.94
Pt 0.0000 0.0000 0.5000 (multiplicity 3)  8 Tc 2.66-2.94


Pick model w: it beats the second-best structure by 27.6 kJ/mol of atoms.


Model w:
PaTePt: relaxed, PBE-GGA.

Results
The total moment comes out at 0.82 Bohr magnetons per cell.

Cell: 4.4670 4.4670 4.3060 Å, 90.00 90.00 120.00°
Closest atoms and distances in Å follow each position.
Space group P3m1 (No. 156)
Inequivalent atoms, fractional coordinates:
Pa 0.0000 0.0000 0.0000 (multiplicity 1)  3 Pt 2.84
Te 0.6667 0.3333 0.5503 (multiplicity 1)  3 Pt 2.84
Pt 0.3333 0.6667 0.2745 (multiplicity 1)  3 Pa 2.84, 3 Te 2.84


Model x:
PaTePt: relaxed, PBE-GGA.

Results
The total moment comes out at 0.00 Bohr magnetons per cell.

Cell: 19.6791 3.7074 4.2900 Å, 90.00 90.06 90.00°
Closest atoms and distances in Å follow each position.
Space group C2/m (No. 12)
Inequivalent atoms, fractional coordinates:
Pa 0.0891 0.0000 0.2504 (multiplicity 4)  6 Pt 2.99-3.15, 4 Te 3.32
Te 0.1765 0.5000 0.7510 (multiplicity 4)  1 Pt 2.68
Pt 0.0403 0.5000 0.7503 (multiplicity 4)  2 Pt 2.67, 1 Te 2.68


Model y:
PaTePt: relaxed, PBE-GGA.

Results
The total moment comes out at 1.27 Bohr magnetons per cell.

Cell: 4.0751 4.0751 8.8484 Å, 90.00 90.00 90.00°
Closest atoms and distances in Å follow each position.
Space group P4/nmm (No. 129, origin choice 2)
Inequivalent atoms, fractional coordinates:
Pa 0.2500 0.2500 0.2326 (multiplicity 2)  4 Pt 2.90, 4 Te 3.15
Te 0.2500 0.2500 0.6236 (multiplicity 2)  5 Pa 3.15-3.46
Pt 0.2500 0.7500 0.0000 (multiplicity 2)  4 Pt 2.88, 4 Pa 2.90


Model z:
PaTePt: relaxed, PBE-GGA.

Results
The total moment comes out at 1.20 Bohr magnetons per cell.

Cell: 8.9673 5.6757 5.5446 Å, 90.00 90.71 90.00°
Closest atoms and distances in Å follow each position.
Space group C2/m (No. 12)
Inequivalent atoms, fractional coordinates:
Pa 0.2364 0.0000 0.2462 (multiplicity 4)  3 Pt 2.86-3.13, 4 Te 3.10-3.16
Te 0.0965 0.5000 0.2521 (multiplicity 4)  1 Pt 2.88, 4 Pa 3.10-3.16
Pt 0.0826 0.0000 0.7493 (multiplicity 4)  3 Pa 2.86-3.13, 1 Te 2.88, 2 Pt 3.12-3.17


Pick model y: it beats the second-best structure by 4.9 kJ/mol of atoms.


Model w:
Th2PaPt: relaxed, PBE-GGA.

Results
The total moment comes out at 0.00 Bohr magnetons per cell.

Cell: 3.4267 3.4267 32.3963 Å, 90.00 90.00 120.00°
Closest atoms and distances in Å follow each position.
Space group R-3m (No. 166, hexagonal axes)
Inequivalent atoms, fractional coordinates:
Th 0.0000 0.0000 0.0983 (multiplicity 6)  3 Pt 2.97, 1 Pa 3.18
Pa 0.0000 0.0000 0.0000 (multiplicity 3)  2 Th 3.18, 6 Pa 3.43
Pt 0.0000 0.0000 0.5000 (multiplicity 3)  6 Th 2.97


Model x:
Th2PaPt: relaxed, PBE-GGA.

Results
The total moment comes out at 0.00 Bohr magnetons per cell.

Cell: 3.6389 3.6389 8.0492 Å, 90.00 90.00 90.00°
Closest atoms and distances in Å follow each position.
Space group P4/mmm (No. 123)
Inequivalent atoms, fractional coordinates:
Th 0.0000 0.0000 0.2198 (multiplicity 2)  4 Pt 3.12, 4 Pa 3.42
Pa 0.5000 0.5000 0.5000 (multiplicity 1)  8 Th 3.42, 4 Pa 3.64
Pt 0.5000 0.5000 0.0000 (multiplicity 1)  8 Th 3.12


Pick model x: it beats the second-best structure by 42.9 kJ/mol of atoms.


Model w:
PaTiPt: relaxed, PBE-GGA.

Results
The total moment comes out at 0.00 Bohr magnetons per cell.

Cell: 4.4493 4.4493 3.6822 Å, 90.00 90.00 120.00°
Closest atoms and distances in Å follow each position.
Space group P-6m2 (No. 187)
Inequivalent atoms, fractional coordinates:
Pa 0.0000 0.0000 0.0000 (multiplicity 1)  6 Ti 3.16, 6 Pt 3.16
Ti 0.6667 0.3333 0.5000 (multiplicity 1)  3 Pt 2.57
Pt 0.3333 0.6667 0.5000 (multiplicity 1)  3 Ti 2.57


Model x:
PaTiPt: relaxed, PBE-GGA.

Results
The total moment comes out at 0.00 Bohr magnetons per cell.

Cell: 3.1717 17.1322 4.2936 Å, 90.00 90.00 90.00°
Closest atoms and distances in Å follow each position.
Space group Cmcm (No. 63)
Inequivalent atoms, fractional coordinates:
Pa 0.0000 0.2083 0.2500 (multiplicity 4)  1 Pt 2.72, 4 Pa 3.03
Ti 0.0000 0.4126 0.2500 (multiplicity 4)  6 Pt 2.75-2.83
Pt 0.0000 0.0495 0.2500 (multiplicity 4)  1 Pa 2.72, 2 Pt 2.74, 6 Ti 2.75-2.83


Pick model x: it beats the second-best structure by 12.0 kJ/mol of atoms.


Model w:
PaTiPt2: relaxed, PBE-GGA.

Results
The total moment comes out at 0.00 Bohr magnetons per cell.

Cell: 4.3384 4.3384 14.6092 Å, 90.00 90.00 120.00°
Closest atoms and distances in Å follow each position.
Space group R-3m (No. 166, hexagonal axes)
Inequivalent atoms, fractional coordinates:
Pa 0.0000 0.0000 0.0000 (multiplicity 3)  8 Pt 2.99-3.24
Ti 0.0000 0.0000 0.5000 (multiplicity 3)  6 Pt 2.63
Pt 0.0000 0.0000 0.2217 (multiplicity 6)  3 Ti 2.63


Model x:
PaTiPt2: relaxed, PBE-GGA.

Results
The total moment comes out at 0.00 Bohr magnetons per cell.

Cell: 3.2329 3.2329 7.0536 Å, 90.00 90.00 90.00°
Closest atoms and distances in Å follow each position.
Space group P4/mmm (No. 123)
Inequivalent atoms, fractional coordinates:
Pa 0.0000 0.0000 0.0000 (multiplicity 1)  8 Pt 3.08, 4 Pa 3.23
Ti 0.0000 0.0000 0.5000 (multiplicity 1)  8 Pt 2.72
Pt 0.5000 0.5000 0.2917 (multiplicity 2)  4 Ti 2.72, 1 Pt 2.94


Pick model w: it beats the second-best structure by 2.0 kJ/mol of atoms.


Model w:
PaTiPt2: relaxed, PBE-GGA.

Results
The total moment comes out at 0.32 Bohr magnetons per cell.

Cell: 4.3764 6.7556 5.2843 Å, 90.00 90.00 90.00°
Closest atoms and distances in Å follow each position.
Space group Pmmn (No. 59, origin choice 2)
Inequivalent atoms, fractional coordinates:
Pa 0.2500 0.2500 0.1710 (multiplicity 2)  8 Pt 3.00-3.06, 2 Ti 3.27
Ti 0.2500 0.7500 0.2890 (multiplicity 2)  6 Pt 2.66-2.78
Pt 0.2500 0.0285 0.6762 (multiplicity 4)  3 Ti 2.66-2.78, 2 Pt 2.90


Model x:
PaTiPt2: relaxed, PBE-GGA.

Results
The total moment comes out at 1.63 Bohr magnetons per cell.

Cell: 4.3748 4.3748 3.9257 Å, 90.00 90.00 90.00°
Closest atoms and distances in Å follow each position.
Space group P4/mmm (No. 123)
Inequivalent atoms, fractional coordinates:
Pa 0.0000 0.0000 0.0000 (multiplicity 1)  8 Pt 2.94, 4 Ti 3.09
Ti 0.5000 0.5000 0.0000 (multiplicity 1)  8 Pt 2.94, 4 Pa 3.09
Pt 0.0000 0.5000 0.5000 (multiplicity 2)  4 Pa 2.94, 4 Ti 2.94, 4 Pt 3.09


Pick model w: it beats the second-best structure by 6.7 kJ/mol of atoms.


Model w:
TmPaPt2: relaxed, PBE-GGA.

Results
The total moment comes out at 2.12 Bohr magnetons per cell.

Cell: 6.9854 6.9854 6.9854 Å, 90.00 90.00 90.00°
Closest atoms and distances in Å follow each position.
Space group Fm-3m (No. 225)
Inequivalent atoms, fractional coordinates:
Tm 0.0000 0.0000 0.0000 (multiplicity 4)  8 Pt 3.02
Pa 0.0000 0.0000 0.5000 (multiplicity 4)  8 Pt 3.02
Pt 0.2500 0.2500 0.2500 (multiplicity 8)  4 Pa 3.02, 4 Tm 3.02


Model x:
TmPaPt2: relaxed, PBE-GGA.

Results
The total moment comes out at 0.00 Bohr magnetons per cell.

Cell: 4.4651 3.6724 10.6740 Å, 90.00 90.00 90.00°
Closest atoms and distances in Å follow each position.
Space group Amm2 (No. 38)
Inequivalent atoms, fractional coordinates:
Tm 0.0000 0.0000 0.0000 (multiplicity 2)  7 Pt 2.83-3.11
Pa 0.5000 0.0000 0.2754 (multiplicity 2)  7 Pt 2.90-3.05
Pt 0.0000 0.0000 0.7352 (multiplicity 2)  3 Tm 2.83-3.11, 4 Pa 2.92, 2 Pt 3.00
Pt 0.5000 0.0000 0.5470 (multiplicity 2)  3 Pa 2.90-3.05, 4 Tm 2.93, 2 Pt 3.00


Pick model x: it beats the second-best structure by 18.3 kJ/mol of atoms.


Model w:
TmPaPt: relaxed, PBE-GGA.

Results
The total moment comes out at 0.00 Bohr magnetons per cell.

Cell: 4.7731 4.7731 3.4782 Å, 90.00 90.00 120.00°
Closest atoms and distances in Å follow each position.
Space group P3m1 (No. 156)
Inequivalent atoms, fractional coordinates:
Tm 0.0000 0.0000 0.0000 (multiplicity 1)  3 Pt 2.98, 3 Pa 3.10
Pa 0.6667 0.3333 0.4055 (multiplicity 1)  3 Pt 2.91, 3 Tm 3.10
Pt 0.3333 0.6667 0.6703 (multiplicity 1)  3 Pa 2.91, 3 Tm 2.98


Model x:
TmPaPt: relaxed, PBE-GGA.

Results
The total moment comes out at 4.14 Bohr magnetons per cell.

Cell: 6.8290 6.8290 6.8290 Å, 90.00 90.00 90.00°
Closest atoms and distances in Å follow each position.
Space group F-43m (No. 216)
Inequivalent atoms, fractional coordinates:
Tm 0.0000 0.0000 0.0000 (multiplicity 4)  4 Pt 2.96
Pa 0.0000 0.0000 0.5000 (multiplicity 4)  4 Pt 2.96
Pt 0.2500 0.2500 0.2500 (multiplicity 4)  4 Pa 2.96, 4 Tm 2.96


Pick model x: it beats the second-best structure by 6.6 kJ/mol of atoms.


Model w:
UPa2Pt: relaxed, PBE-GGA.

Results
The total moment comes out at 9.69 Bohr magnetons per cell.

Cell: 6.9984 6.9984 6.9984 Å, 90.00 90.00 90.00°
Closest atoms and distances in Å follow each position.
Space group Fm-3m (No. 225)
Inequivalent atoms, fractional coordinates:
U 0.0000 0.0000 0.0000 (multiplicity 4)  8 Pa 3.03
Pa 0.2500 0.2500 0.2500 (multiplicity 8)  4 U 3.03, 4 Pt 3.03
Pt 0.0000 0.0000 0.5000 (multiplicity 4)  8 Pa 3.03


Model x:
UPa2Pt: relaxed, PBE-GGA.

Results
The total moment comes out at 0.00 Bohr magnetons per cell.

Cell: 3.5740 3.5740 6.8000 Å, 90.00 90.00 90.00°
Closest atoms and distances in Å follow each position.
Space group P4/mmm (No. 123)
Inequivalent atoms, fractional coordinates:
U 0.0000 0.0000 0.0000 (multiplicity 1)  8 Pa 3.03
Pa 0.5000 0.5000 0.2456 (multiplicity 2)  4 U 3.03, 4 Pt 3.06, 1 Pa 3.34
Pt 0.0000 0.0000 0.5000 (multiplicity 1)  8 Pa 3.06, 2 U 3.40


Pick model x: it beats the second-best structure by 3.8 kJ/mol of atoms.


Model w:
UPa2Pt: relaxed, PBE-GGA.

Results
The total moment comes out at 0.00 Bohr magnetons per cell.

Cell: 5.2382 5.2382 3.1446 Å, 90.00 90.00 90.00°
Closest atoms and distances in Å follow each position.
Space group P4/mmm (No. 123)
Inequivalent atoms, fractional coordinates:
U 0.0000 0.0000 0.0000 (multiplicity 1)  8 Pa 3.05, 2 U 3.14
Pa 0.0000 0.5000 0.5000 (multiplicity 2)  4 U 3.05, 4 Pt 3.05, 2 Pa 3.14
Pt 0.5000 0.5000 0.0000 (multiplicity 1)  8 Pa 3.05, 2 Pt 3.14


Model x:
UPa2Pt: relaxed, PBE-GGA.

Results
The total moment comes out at 0.00 Bohr magnetons per cell.

Cell: 3.0016 3.0016 32.3774 Å, 90.00 90.00 120.00°
Closest atoms and distances in Å follow each position.
Space group R-3m (No. 166, hexagonal axes)
Inequivalent atoms, fractional coordinates:
U 0.0000 0.0000 0.0000 (multiplicity 3)  2 Pa 2.86, 6 U 3.00
Pa 0.0000 0.0000 0.0882 (multiplicity 6)  1 U 2.86, 6 Pa 3.00, 3 Pt 3.07
Pt 0.0000 0.0000 0.5000 (multiplicity 3)  6 Pt 3.00, 6 Pa 3.07


Pick model w: it beats the second-best structure by 40.1 kJ/mol of atoms.